# SbPAuI2 | the Alexandria database | GGA-PBE | optimized geometry
data_SbPAuI2
_chemical_formula_sum 'Sb1 P1 Au1 I2'
_cell_length_a 5.536
_cell_length_b 5.536
_cell_length_c 5.672
_cell_angle_alpha 90.00
_cell_angle_beta 90.00
_cell_angle_gamma 90.00
_symmetry_space_group_name_H-M 'P 4/m m m'
_symmetry_Int_Tables_number 123
_symmetry_space_group_name_Hall '-P 4 2'
loop_
_atom_site_label
_atom_site_type_symbol
_atom_site_fract_x
_atom_site_fract_y
_atom_site_fract_z
Sb1 Sb 0.000 0.000 0.000
P1 P 0.500 0.500 0.000
Au1 Au 0.000 0.000 0.500
I1 I 0.000 0.500 0.500
# energy above the lowest structure with this stoichiometry: 18.9 kJ per mole of atoms
# formation energy without anion corrections: 0.876 eV per atom
# size of the total moment: 1.21 μB/f.u.
# density of states at the Fermi level: 3.85 states/eV/cell

***

# Sb2PAuI | the Alexandria database | GGA-PBE | optimized geometry
data_Sb2PAuI
_chemical_formula_sum 'Sb2 P1 Au1 I1'
_cell_length_a 5.435
_cell_length_b 5.435
_cell_length_c 5.376
_cell_angle_alpha 90.00
_cell_angle_beta 90.00
_cell_angle_gamma 90.00
_symmetry_space_group_name_H-M 'P 4/m m m'
_symmetry_Int_Tables_number 123
_symmetry_space_group_name_Hall '-P 4 2'
loop_
_atom_site_label
_atom_site_type_symbol
_atom_site_fract_x
_atom_site_fract_y
_atom_site_fract_z
Sb1 Sb 0.000 0.500 0.000
P1 P 0.000 0.000 0.500
Au1 Au 0.500 0.500 0.000
I1 I 0.500 0.500 0.500
# energy above the lowest structure with this stoichiometry: 21.9 kJ per mole of atoms
# formation energy without anion corrections: 0.979 eV per atom
# size of the total moment: 0.00 μB/f.u.
# density of states at the Fermi level: 5.97 states/eV/cell